1.
Compound: Rb2ICl6F
Source: Alexandria
Functional: PBE
Structure: relaxed

a = 7.905 Å, b = 7.905 Å, c = 7.206 Å
α = 56.73°, β = 56.73°, γ = 90.00°
Sites, in units of the cell vectors:
1 I 0.000 0.000 0.000
2 F 0.500 0.500 0.000
3 Rb 0.750 0.250 0.500
4 Rb 0.250 0.750 0.500
5 Cl 0.269 0.269 0.462
6 Cl 0.731 0.731 0.538
7 Cl 0.233 0.233 0.000
8 Cl 0.767 0.767 0.000
9 Cl 0.767 0.233 0.000
10 Cl 0.233 0.767 0.000

symmetry = I4/mmm, No. 139

=====

2.
Compound: PuZn4Si2
Source: Alexandria
Functional: PBE
Structure: relaxed

a = 3.987 Å, b = 3.990 Å, c = 7.581 Å
α = 105.26°, β = 90.00°, γ = 90.00°
Sites, in units of the cell vectors:
1 Pu 0.000 0.000 0.000
2 Zn 0.500 0.817 0.634
3 Zn 0.000 0.687 0.375
4 Zn 0.500 0.183 0.366
5 Zn 0.000 0.313 0.625
6 Si 0.500 0.580 0.159
7 Si 0.500 0.420 0.841

symmetry = Cmmm, No. 65

=====

3.
Compound: RbCaDyCl6
Source: Alexandria
Functional: PBE
Structure: relaxed

a = 7.132 Å, b = 7.132 Å, c = 14.279 Å
α = 90.00°, β = 90.00°, γ = 120.00°
Sites, in units of the cell vectors:
1 Rb 0.000 0.000 0.000
2 Rb 0.000 0.000 0.500
3 Ca 0.333 0.667 0.250
4 Ca 0.667 0.333 0.750
5 Dy 0.667 0.333 0.250
6 Dy 0.333 0.667 0.750
7 Cl 0.631 0.620 0.144
8 Cl 0.989 0.369 0.144
9 Cl 0.369 0.989 0.644
10 Cl 0.011 0.631 0.856
11 Cl 0.380 0.369 0.356
12 Cl 0.989 0.620 0.356
13 Cl 0.620 0.989 0.856
14 Cl 0.631 0.011 0.356
15 Cl 0.011 0.380 0.644
16 Cl 0.380 0.011 0.144
17 Cl 0.620 0.631 0.644
18 Cl 0.369 0.380 0.856

symmetry = P-31c, No. 163

=====

Energy relative to the elements, uncorrected readings, ordered: -0.83 -0.19 -2.30 eV/atom
Energy readings, ordered: -2.477 -4.512 -4.369 eV/atom
Spin magnetization readings, ordered: 0.00 0.78 0.00 μB/atom